No. 1
Entry from Alexandria via LeMat-Bulk: ZrCoRh2 after structural relaxation (PBE).

* Fermi-level density of states: 13.2 states/eV per cell
* energy relative to the elements: -0.377 eV per atom

a b c (Å): 3.900 3.900 7.930
angles (deg): 90.00 90.00 90.00
Sites, in units of the cell vectors:
Zr1 0.000 0.000 0.000
Zr2 0.500 0.500 0.500
Co1 0.000 0.500 0.250
Co2 0.500 0.000 0.750
Rh1 0.000 0.000 0.500
Rh2 0.000 0.500 0.750
Rh3 0.500 0.000 0.250
Rh4 0.500 0.500 0.000


No. 2
Entry from Alexandria via LeMat-Bulk: ErZrPdAu after structural relaxation (PBE).

* Fermi-level density of states: 11.1 states/eV per cell
* energy relative to the elements: -0.659 eV per atom

a b c (Å): 6.917 6.917 6.917
angles (deg): 90.00 90.00 90.00
Sites, in units of the cell vectors:
Er1 0.000 0.000 0.000
Er2 0.000 0.500 0.500
Er3 0.500 0.000 0.500
Er4 0.500 0.500 0.000
Zr1 0.000 0.000 0.500
Zr2 0.000 0.500 0.000
Zr3 0.500 0.000 0.000
Zr4 0.500 0.500 0.500
Pd1 0.250 0.250 0.750
Pd2 0.250 0.750 0.250
Pd3 0.750 0.250 0.250
Pd4 0.750 0.750 0.750
Au1 0.250 0.250 0.250
Au2 0.250 0.750 0.750
Au3 0.750 0.250 0.750
Au4 0.750 0.750 0.250


No. 3
Entry from Alexandria via LeMat-Bulk: Er4IrRh2 after structural relaxation (PBE).

* Fermi-level density of states: 11.4 states/eV per cell
* distance to the lowest polymorph of the same formula: 10.4 meV per atom
* energy relative to the elements: -0.785 eV per atom

a b c (Å): 6.760 6.760 6.794
angles (deg): 90.00 90.00 90.00
Sites, in units of the cell vectors:
Er1 0.250 0.250 0.250
Er2 0.250 0.250 0.750
Er3 0.250 0.750 0.250
Er4 0.250 0.750 0.750
Er5 0.750 0.250 0.250
Er6 0.750 0.250 0.750
Er7 0.750 0.750 0.250
Er8 0.750 0.750 0.750
Ir1 0.000 0.000 0.000
Ir2 0.500 0.500 0.500
Rh1 0.000 0.500 0.000
Rh2 0.000 0.500 0.500
Rh3 0.500 0.000 0.000
Rh4 0.500 0.000 0.500


No. 4
Entry from Alexandria via LeMat-Bulk: SmErCu2S4 after structural relaxation (PBE).

* Fermi-level density of states: 1.7 states/eV per cell
* ΔE_f (raw): -1.19 eV/atom

a b c (Å): 6.482 6.594 7.662
angles (deg): 90.00 90.00 90.00
Sites, in units of the cell vectors:
Sm1 0.000 0.000 0.000
Sm2 0.500 0.500 0.500
Er1 0.000 0.000 0.500
Er2 0.500 0.500 0.000
Cu1 0.000 0.500 0.167
Cu2 0.000 0.500 0.833
Cu3 0.500 0.000 0.333
Cu4 0.500 0.000 0.667
S1 0.247 0.230 0.311
S2 0.247 0.770 0.689
S3 0.253 0.270 0.811
S4 0.253 0.730 0.189
S5 0.747 0.270 0.189
S6 0.747 0.730 0.811
S7 0.753 0.230 0.689
S8 0.753 0.770 0.311


No. 5
Entry from Alexandria via LeMat-Bulk: In3Ga2Sn3 after structural relaxation (PBE).

* Fermi-level density of states: 2.4 states/eV per cell
* distance to the lowest polymorph of the same formula: 15.1 meV per atom
* energy relative to the elements: 0.044 eV per atom

a b c (Å): 4.149 4.994 10.298
angles (deg): 103.14 100.99 90.55
Sites, in units of the cell vectors:
In1 0.000 0.000 0.000
In2 0.131 0.638 0.259
In3 0.869 0.362 0.741
Ga1 0.251 0.253 0.505
Ga2 0.749 0.747 0.495
Sn1 0.358 0.849 0.715
Sn2 0.500 0.500 0.000
Sn3 0.642 0.151 0.285


No. 6
Entry from Alexandria via LeMat-Bulk: GdUSb2 after structural relaxation (PBE).

* Fermi-level density of states: 4.8 states/eV per cell
* ΔE_f (raw): -0.51 eV/atom
* distance to the lowest polymorph of the same formula: 0.0 meV per atom

a b c (Å): 3.731 3.731 7.718
angles (deg): 90.00 90.00 90.00
Sites, in units of the cell vectors:
Gd1 0.000 0.000 0.000
U1 0.000 0.000 0.500
Sb1 0.500 0.500 0.255
Sb2 0.500 0.500 0.745


No. 7
Entry from Alexandria via LeMat-Bulk: ZrTcPb2 after structural relaxation (PBE).

* Fermi-level density of states: 3.5 states/eV per cell
* distance to the lowest polymorph of the same formula: 295.2 meV per atom
* energy relative to the elements: 0.352 eV per atom

a b c (Å): 3.703 4.623 5.136
angles (deg): 90.00 90.00 90.00
Sites, in units of the cell vectors:
Zr1 0.000 0.000 0.000
Tc1 0.500 0.000 0.500
Pb1 0.000 0.500 0.500
Pb2 0.500 0.500 0.000


No. 8
Entry from Alexandria via LeMat-Bulk: Pr3Zn7Ir4 after structural relaxation (PBE).

* Fermi-level density of states: 7.0 states/eV per cell
* energy relative to the elements: -0.434 eV per atom

a b c (Å): 8.171 8.171 9.720
angles (deg): 124.06 124.06 30.31
Sites, in units of the cell vectors:
Pr1 0.000 0.000 0.000
Pr2 0.302 0.302 0.290
Pr3 0.698 0.698 0.710
Zn1 0.000 0.000 0.500
Zn2 0.152 0.152 0.420
Zn3 0.323 0.323 0.982
Zn4 0.491 0.491 0.709
Zn5 0.509 0.509 0.291
Zn6 0.677 0.677 0.018
Zn7 0.848 0.848 0.580
Ir1 0.108 0.108 0.818
Ir2 0.334 0.334 0.722
Ir3 0.666 0.666 0.278
Ir4 0.892 0.892 0.182